Record 1
VASP calculation (PBE) on a relaxed structure of PmDyLuZn.

* formation enthalpy at 0 K: 1 kJ/mol of atoms

Cell: 5.3378 5.3378 5.3378 Å, 60.00 60.00 60.00°
With the nearest neighbours (Å) after each atom.
Fractional positions:
1 Pm 0.0000 0.0000 0.0000  4 Zn 3.27, 4 Lu 3.27
2 Dy 0.5000 0.5000 0.5000  4 Zn 3.27, 4 Lu 3.27
3 Lu 0.7500 0.7500 0.7500  4 Dy 3.27, 4 Pm 3.27
4 Zn 0.2500 0.2500 0.2500  4 Dy 3.27, 4 Pm 3.27

***

Record 2
VASP calculation (PBE) on a relaxed structure of Tm4TlCdHg2.

* formation enthalpy at 0 K: -37 kJ/mol of atoms

Cell: 9.1115 9.1115 9.1115 Å, 33.27 33.27 33.27°
With the nearest neighbours (Å) after each atom.
Fractional positions:
1 Tm 0.1244 0.1244 0.1244  3 Tl 3.20, 1 Cd 3.21, 4 Hg 3.24-3.37
2 Tm 0.3751 0.3751 0.3751  4 Hg 3.10-3.16, 3 Cd 3.20, 1 Tl 3.22
3 Tm 0.6249 0.6249 0.6249  4 Hg 3.10-3.16, 3 Cd 3.20, 1 Tl 3.22
4 Tm 0.8756 0.8756 0.8756  3 Tl 3.20, 1 Cd 3.21, 4 Hg 3.24-3.37
5 Tl 0.5000 0.5000 0.5000  8 Tm 3.20-3.22
6 Cd 0.0000 0.0000 0.0000  8 Tm 3.20-3.21
7 Hg 0.2549 0.2549 0.2549  8 Tm 3.10-3.37
8 Hg 0.7451 0.7451 0.7451  8 Tm 3.10-3.37

***

Record 3
VASP calculation (PBE) on a relaxed structure of ScAl4Cd.

* formation enthalpy at 0 K: -10 kJ/mol of atoms

Cell: 5.4280 5.4280 5.4280 Å, 60.00 60.00 60.00°
With the nearest neighbours (Å) after each atom.
Fractional positions:
1 Sc 0.0000 0.0000 0.0000  12 Al 3.18, 4 Cd 3.32
2 Al 0.1238 0.6254 0.6254  6 Al 2.71-2.72
3 Al 0.6254 0.1238 0.6254  6 Al 2.71-2.72
4 Al 0.6254 0.6254 0.1238  6 Al 2.71-2.72
5 Al 0.6254 0.6254 0.6254  6 Al 2.71-2.72
6 Cd 0.2500 0.2500 0.2500  12 Al 3.18, 4 Sc 3.32

***

Record 4
VASP calculation (PBE) on a relaxed structure of Mn4Fe5.

* energy relative to the lowest polymorph listed for this composition: 0.00 eV per formula unit
* formation enthalpy at 0 K: 10 kJ/mol of atoms

Cell: 6.1593 6.1593 6.1593 Å, 92.96 92.96 153.72°
With the nearest neighbours (Å) after each atom.
Fractional positions:
1 Mn 0.0000 0.3387 0.3387  4 Mn 2.39, 4 Fe 2.47
2 Mn 0.0000 0.6613 0.6613  4 Mn 2.39, 4 Fe 2.47
3 Mn 0.3387 0.0000 0.3387  4 Mn 2.39, 4 Fe 2.47
4 Mn 0.6613 0.0000 0.6613  4 Mn 2.39, 4 Fe 2.47
5 Fe 0.0000 0.0000 0.0000  8 Fe 2.44
6 Fe 0.3335 0.3335 0.6671  4 Fe 2.44, 4 Mn 2.47
7 Fe 0.3335 0.6665 0.0000  4 Fe 2.44, 4 Mn 2.47
8 Fe 0.6665 0.3335 0.0000  4 Fe 2.44, 4 Mn 2.47
9 Fe 0.6665 0.6665 0.3329  4 Fe 2.44, 4 Mn 2.47

***

Record 5
VASP calculation (PBE) on a relaxed structure of KRbRhO2.

* formation energy from raw total energies: -0.86 eV per atom

Cell: 5.4478 6.4587 5.9370 Å, 90.00 90.00 90.00°
With the nearest neighbours (Å) after each atom.
Fractional positions:
1 K 0.2500 0.0000 0.0061  2 O 2.54, 2 K 2.72
2 K 0.7500 0.0000 0.9939  2 O 2.54, 2 K 2.72
3 Rb 0.2500 0.5000 0.3153  2 O 2.72
4 Rb 0.7500 0.5000 0.6847  2 O 2.72
5 Rh 0.0000 0.0000 0.5000  4 O 2.07
6 Rh 0.5000 0.0000 0.5000  4 O 2.07
7 O 0.2500 0.2043 0.6411  2 Rh 2.07
8 O 0.2500 0.7957 0.6411  2 Rh 2.07
9 O 0.7500 0.2043 0.3589  2 Rh 2.07
10 O 0.7500 0.7957 0.3589  2 Rh 2.07

***

Record 6
VASP calculation (PBE) on a relaxed structure of RbMgPb.

* energy relative to the lowest polymorph listed for this composition: 0.43 eV per formula unit
* formation enthalpy at 0 K: 1 kJ/mol of atoms

Cell: 7.3434 7.3434 7.3434 Å, 147.09 147.09 47.23°
With the nearest neighbours (Å) after each atom.
Fractional positions:
1 Rb 0.0000 0.0000 0.0000  1 Mg 3.71, 5 Pb 3.87-4.10
2 Mg 0.7241 0.7241 0.0000  4 Pb 3.06
3 Pb 0.2876 0.2876 0.0000  4 Mg 3.06